This record from the Alexandria database describes a relaxed structure of PmTh2Sb3. The functional is PBE.

- Relative energy among the computed polymorphs: 109 meV/atom
- Magnetization: 0.00 μB/cell
- Energy: -6.2278 eV per atom
- Formation energy without anion corrections: -0.90 eV per atom

Lattice parameters (Å, degrees): 8.9069 8.9069 10.9221 107.51 107.51 29.12
Sites, in units of the cell vectors:
Pm1 0.0000 0.0000 0.0000
Pm2 0.5000 0.5000 0.5000
Th1 0.1663 0.1663 0.8323
Th2 0.3339 0.3339 0.6680
Th3 0.6661 0.6661 0.3320
Th4 0.8337 0.8337 0.1677
Sb1 0.0279 0.0279 0.3057
Sb2 0.3056 0.3056 0.3615
Sb3 0.3610 0.3610 0.9726
Sb4 0.6390 0.6390 0.0274
Sb5 0.6944 0.6944 0.6385
Sb6 0.9721 0.9721 0.6943